This record from Alexandria describes LaPm2Au6 after structural relaxation. The functional is GGA-PBE.

a b c (Å): 3.784 8.594 8.594
angles (deg): 53.72 77.28 77.28
Atoms (fractional coordinates):
Au  0.000  0.817  0.183
Au  0.177  0.510  0.136
La  0.500  0.500  0.500
Au  0.000  0.183  0.817
Pm  0.359  0.141  0.141
Au  0.823  0.490  0.864
Au  0.823  0.864  0.490
Au  0.177  0.136  0.510
Pm  0.641  0.859  0.859

Summary:
- energy of formation from the pure elements (meV per atom) = -739
- DOS at the Fermi energy (states/eV per cell) = 5.5